1.
## NaPb5Au4 (GGA-PBE)

Data for a relaxed structure of NaPb5Au4.

Computed properties:
space-group type: C2/m
calculated formation energy: -0.1025 eV/atom

```
NaPb5Au4
1.0
-2.8219 4.0591 0.0972
-2.7218 -1.7398 -6.3646
-3.9617 -5.8576 3.8311
Na Pb Au
1 5 4
direct
0.5000 0.0000 0.0000
0.1621 0.9954 0.3242
0.1708 0.5028 0.3416
0.8292 0.4972 0.6584
0.5000 0.5000 0.0000
0.8379 0.0046 0.6758
0.6686 0.7549 0.3372
0.0114 0.2440 0.0228
0.3314 0.2451 0.6628
0.9886 0.7560 0.9772
```

---

2.
## Na6PbAu2 (GGA-PBE)

Data for a relaxed structure of Na6PbAu2.

Computed properties:
relative energy among the computed polymorphs: 0 meV per atom
space-group type: Immm
calculated formation energy: -0.2308 eV/atom

```
Na6PbAu2
1.0
0.3924 1.7149 9.5267
-5.4082 -3.6693 5.8091
3.5118 -5.5434 5.7790
Na Pb Au
12 2 4
direct
0.2933 0.1931 0.8069
0.7067 0.8069 0.1931
0.7067 0.1931 0.8069
0.2933 0.8069 0.1931
0.7516 0.4444 0.0525
0.2484 0.5556 0.9475
0.7516 0.0525 0.4444
0.2484 0.9475 0.5556
0.9677 0.3350 0.3350
0.0323 0.6650 0.6650
0.3623 0.3350 0.3350
0.6377 0.6650 0.6650
0.5000 0.5000 0.5000
0.0000 0.0000 0.0000
0.3729 0.1271 0.1271
0.6271 0.8729 0.8729
0.0000 0.3382 0.6618
0.0000 0.6618 0.3382
```

---

3.
## Na6PbAu2 (GGA-PBE)

Data for a relaxed structure of Na6PbAu2.

Computed properties:
relative energy among the computed polymorphs: 35 meV per atom
space-group type: P-62m
calculated formation energy: -0.1956 eV/atom

```
Na6PbAu2
1.0
-3.5007 1.1966 1.6092
2.4041 -3.0446 7.4939
1.7742 7.9835 -2.0767
Na Pb Au
6 1 2
direct
0.5000 0.6072 0.0000
0.5000 0.3929 0.3929
0.5000 0.0000 0.6071
0.0000 0.2872 0.0000
0.0000 0.7128 0.7128
0.0000 0.0000 0.2872
0.5000 0.0001 0.0000
0.0000 0.3333 0.6666
0.0000 0.6667 0.3334
```

---

| no. | Fermi-level density of states (states/eV per cell) |
| --- | --- |
| 1 | 4.22 |
| 2 | 5.38 |
| 3 | 1.42 |